No. 1
Below is an optimized crystal structure of Cs4NaPb4, with properties calculated at the PBE-GGA level.

## Properties
Electronic total energy = -2.135 eV/atom
Symmetry = I-42m
Formation energy = 0.039 eV/atom

Cell lengths 11.3817, 11.3817, 11.3817 Å; angles 139.61, 139.61, 58.44 degrees
Last column: nearest neighbours and their distance in Å.
Atoms (fractional coordinates):
Cs 0.0193 0.6713 0.0000  1 Cs 3.87, 3 Pb 3.90-3.93
Cs 0.3287 0.3287 0.3481  1 Cs 3.87, 3 Pb 3.90-3.93
Cs 0.6713 0.0193 0.0000  1 Cs 3.87, 3 Pb 3.90-3.93
Cs 0.9807 0.9807 0.6519  1 Cs 3.87, 3 Pb 3.90-3.93
Na 0.5000 0.5000 0.0000  4 Pb 3.29
Pb 0.2217 0.2217 0.7413  1 Pb 2.87
Pb 0.4803 0.4803 0.2587  1 Pb 2.87
Pb 0.5197 0.7783 0.0000  1 Pb 2.87
Pb 0.7783 0.5197 0.0000  1 Pb 2.87


No. 2
Below is an optimized crystal structure of CsNa2Pb4, with properties calculated at the PBE-GGA level.

## Properties
Electronic total energy = -2.724 eV/atom
Symmetry = I4/mmm
Formation energy = -0.106 eV/atom

Cell lengths 6.8954, 6.8954, 6.8954 Å; angles 102.62, 102.62, 124.26 degrees
Last column: nearest neighbours and their distance in Å.
Atoms (fractional coordinates):
Cs 0.0000 0.0000 0.0000  12 Pb 3.76-3.98
Na 0.2500 0.7500 0.5000  2 Na 3.22, 8 Pb 3.52
Na 0.7500 0.2500 0.5000  2 Na 3.22, 8 Pb 3.52
Pb 0.3083 0.3083 0.6166  4 Pb 3.31-3.52, 4 Na 3.52
Pb 0.3083 0.6917 0.0000  4 Pb 3.31-3.52, 4 Na 3.52
Pb 0.6917 0.3083 0.0000  4 Pb 3.31-3.52, 4 Na 3.52
Pb 0.6917 0.6917 0.3834  4 Pb 3.31-3.52, 4 Na 3.52


No. 3
Below is an optimized crystal structure of Cs3Na3Pb2, with properties calculated at the PBE-GGA level.

## Properties
Electronic total energy = -1.790 eV/atom
Symmetry = Cmcm
Formation energy = -0.048 eV/atom

Cell lengths 7.2353, 7.2353, 18.8858 Å; angles 90.00, 90.00, 130.41 degrees
Last column: nearest neighbours and their distance in Å.
Atoms (fractional coordinates):
Cs 0.0091 0.9909 0.7500  5 Na 3.66-4.08, 2 Pb 4.01
Cs 0.1647 0.8353 0.5365  3 Pb 4.00-4.09, 2 Cs 4.02, 4 Na 4.13-4.34
Cs 0.1647 0.8353 0.9635  3 Pb 4.00-4.09, 2 Cs 4.02, 4 Na 4.13-4.34
Cs 0.8353 0.1647 0.0365  3 Pb 4.00-4.09, 2 Cs 4.02, 4 Na 4.13-4.34
Cs 0.8353 0.1647 0.4635  3 Pb 4.00-4.09, 2 Cs 4.02, 4 Na 4.13-4.34
Cs 0.9909 0.0091 0.2500  5 Na 3.66-4.08, 2 Pb 4.01
Na 0.2877 0.7123 0.7500  4 Pb 3.50, 1 Cs 3.66, 2 Na 3.67
Na 0.4774 0.5226 0.6072  1 Pb 3.48, 1 Na 3.67
Na 0.4774 0.5226 0.8928  1 Pb 3.48, 1 Na 3.67
Na 0.5226 0.4774 0.1072  1 Pb 3.48, 1 Na 3.67
Na 0.5226 0.4774 0.3928  1 Pb 3.48, 1 Na 3.67
Na 0.7123 0.2877 0.2500  4 Pb 3.50, 1 Cs 3.66, 2 Na 3.67
Pb 0.2718 0.7282 0.1669  1 Pb 3.14, 3 Na 3.48-3.50
Pb 0.2718 0.7282 0.3331  1 Pb 3.14, 3 Na 3.48-3.50
Pb 0.7282 0.2718 0.6669  1 Pb 3.14, 3 Na 3.48-3.50
Pb 0.7282 0.2718 0.8331  1 Pb 3.14, 3 Na 3.48-3.50


Q: What is the formula in the first record?
A: Cs4NaPb4


Q: The lowest electronic total energy belongs to which entry?
A: CsNa2Pb4


Q: The highest formation energy belongs to which entry?
A: Cs4NaPb4


Q: Look up the formation energy of the third one.
A: -0.048 eV/atom